# PBE ScBeZn, relaxed
data_ScBeZn
_cell_length_a 6.123
_cell_length_b 6.123
_cell_length_c 6.123
_cell_angle_alpha 90.00
_cell_angle_beta 90.00
_cell_angle_gamma 90.00
_symmetry_space_group_name_H-M 'F -4 3 m'
_symmetry_Int_Tables_number 216
_symmetry_space_group_name_Hall 'F -4 2 3'
loop_
_atom_site_label
_atom_site_fract_x
_atom_site_fract_y
_atom_site_fract_z
_atom_site_occupancy
Sc1 0.000 0.000 0.000 1
Be1 0.250 0.250 0.750 1
Zn1 0.250 0.250 0.250 1
# **Excess energy over the best structure of this formula in the dataset**: 558 meV/atom



# PBE Ho2SiO5, relaxed
data_Ho2SiO5
_cell_length_a 9.000
_cell_length_b 6.831
_cell_length_c 6.644
_cell_angle_alpha 90.00
_cell_angle_beta 106.09
_cell_angle_gamma 90.00
_symmetry_space_group_name_H-M 'P 1 21/c 1'
_symmetry_Int_Tables_number 14
loop_
_symmetry_equiv_pos_as_xyz
'x,y,z'
'-x,-y,-z'
'-x,y+1/2,-z+1/2'
'x,-y+1/2,z+1/2'
loop_
_atom_site_label
_atom_site_fract_x
_atom_site_fract_y
_atom_site_fract_z
_atom_site_occupancy
Ho1 0.028 0.126 0.232 1
Ho2 0.377 0.140 0.064 1
Si1 0.298 0.590 0.030 1
O1 0.112 0.637 0.992 1
O2 0.115 0.117 0.940 1
O3 0.292 0.072 0.341 1
O4 0.374 0.050 0.731 1
O5 0.396 0.716 0.524 1
# **Excess energy over the best structure of this formula in the dataset**: 24 meV/atom



# PBE LiSmSc, relaxed
data_LiSmSc
_cell_length_a 7.034
_cell_length_b 7.034
_cell_length_c 7.034
_cell_angle_alpha 90.00
_cell_angle_beta 90.00
_cell_angle_gamma 90.00
_symmetry_space_group_name_H-M 'F -4 3 m'
_symmetry_Int_Tables_number 216
_symmetry_space_group_name_Hall 'F -4 2 3'
loop_
_atom_site_label
_atom_site_fract_x
_atom_site_fract_y
_atom_site_fract_z
_atom_site_occupancy
Li1 0.000 0.000 0.000 1
Sm1 0.250 0.250 0.250 1
Sc1 0.000 0.000 0.500 1
# **Excess energy over the best structure of this formula in the dataset**: 378 meV/atom



# PBE Li4NbAsO6, relaxed
data_Li4NbAsO6
_cell_length_a 5.258
_cell_length_b 9.155
_cell_length_c 5.155
_cell_angle_alpha 90.00
_cell_angle_beta 110.24
_cell_angle_gamma 90.00
_symmetry_space_group_name_H-M 'C 1 2 1'
_symmetry_Int_Tables_number 5
loop_
_symmetry_equiv_pos_as_xyz
'x,y,z'
'-x,y,-z'
'x+1/2,y+1/2,z'
'-x+1/2,y+1/2,-z'
loop_
_atom_site_label
_atom_site_fract_x
_atom_site_fract_y
_atom_site_fract_z
_atom_site_occupancy
Li1 0.000 0.000 0.000 1
Li2 0.000 0.147 0.500 1
Li3 0.000 0.311 0.000 1
Li4 0.000 0.639 0.000 1
Nb1 0.000 0.814 0.500 1
As1 0.000 0.475 0.500 1
O1 0.235 0.661 0.744 1
O2 0.242 0.974 0.737 1
O3 0.248 0.822 0.271 1
# **DFT total energy**: -6.335 eV per atom



# PBE LaTbCuSi3, relaxed
data_LaTbCuSi3
_cell_length_a 8.110
_cell_length_b 8.487
_cell_length_c 13.993
_cell_angle_alpha 90.00
_cell_angle_beta 90.00
_cell_angle_gamma 90.00
_symmetry_space_group_name_H-M 'F m m m'
_symmetry_Int_Tables_number 69
_symmetry_space_group_name_Hall '-F 2 2'
loop_
_atom_site_label
_atom_site_fract_x
_atom_site_fract_y
_atom_site_fract_z
_atom_site_occupancy
La1 0.000 0.244 0.000 1
Tb1 0.250 0.250 0.250 1
Cu1 0.000 0.000 0.332 1
Si1 0.000 0.000 0.170 1
Si2 0.246 0.000 0.414 1
# **Excess energy over the best structure of this formula in the dataset**: 0 meV/atom



# PBE SmNi2IrPt2, relaxed
data_SmNi2IrPt2
_cell_length_a 5.323
_cell_length_b 9.151
_cell_length_c 4.086
_cell_angle_alpha 90.00
_cell_angle_beta 90.00
_cell_angle_gamma 90.00
_symmetry_space_group_name_H-M 'C m m m'
_symmetry_Int_Tables_number 65
_symmetry_space_group_name_Hall '-C 2 2'
loop_
_atom_site_label
_atom_site_fract_x
_atom_site_fract_y
_atom_site_fract_z
_atom_site_occupancy
Sm1 0.000 0.000 0.000 1
Ni1 0.000 0.341 0.000 1
Ir1 0.000 0.500 0.500 1
Pt1 0.250 0.250 0.500 1
# **ΔE_f**: -0.55 eV/atom



# PBE Y2SbAsPd2, relaxed
data_Y2SbAsPd2
_cell_length_a 11.245
_cell_length_b 4.593
_cell_length_c 11.248
_cell_angle_alpha 90.00
_cell_angle_beta 109.48
_cell_angle_gamma 90.00
_symmetry_space_group_name_H-M 'P 1 m 1'
_symmetry_Int_Tables_number 6
loop_
_symmetry_equiv_pos_as_xyz
'x,y,z'
'x,-y,z'
loop_
_atom_site_label
_atom_site_fract_x
_atom_site_fract_y
_atom_site_fract_z
_atom_site_occupancy
Y1 0.000 0.000 0.000 1
Y2 0.117 0.500 0.374 1
Y3 0.242 0.000 0.748 1
Y4 0.375 0.500 0.123 1
Y5 0.505 0.000 0.495 1
Y6 0.630 0.500 0.879 1
Y7 0.754 0.000 0.253 1
Y8 0.877 0.500 0.620 1
Sb1 0.249 0.000 0.249 1
Sb2 0.375 0.500 0.624 1
Sb3 0.501 0.000 0.999 1
Sb4 0.751 0.000 0.749 1
As1 0.123 0.500 0.874 1
As2 0.627 0.500 0.373 1
As3 0.875 0.500 0.125 1
As4 0.998 0.000 0.498 1
Pd1 0.123 0.500 0.624 1
Pd2 0.247 0.000 0.997 1
Pd3 0.375 0.500 0.373 1
Pd4 0.499 0.000 0.748 1
Pd5 0.629 0.500 0.129 1
Pd6 0.753 0.000 0.498 1
Pd7 0.879 0.500 0.874 1
Pd8 0.998 0.000 0.248 1
# **DFT total energy**: -6.443 eV per atom



# PBE DyTeAs, relaxed
data_DyTeAs
_cell_length_a 7.100
_cell_length_b 7.100
_cell_length_c 7.100
_cell_angle_alpha 90.00
_cell_angle_beta 90.00
_cell_angle_gamma 90.00
_symmetry_space_group_name_H-M 'F -4 3 m'
_symmetry_Int_Tables_number 216
_symmetry_space_group_name_Hall 'F -4 2 3'
loop_
_atom_site_label
_atom_site_fract_x
_atom_site_fract_y
_atom_site_fract_z
_atom_site_occupancy
Dy1 0.000 0.000 0.000 1
Te1 0.250 0.250 0.250 1
As1 0.250 0.250 0.750 1
# **DFT total energy**: -4.744 eV per atom



# PBE Sn2HgMo, relaxed
data_Sn2HgMo
_cell_length_a 7.148
_cell_length_b 7.148
_cell_length_c 7.148
_cell_angle_alpha 90.00
_cell_angle_beta 90.00
_cell_angle_gamma 90.00
_symmetry_space_group_name_H-M 'F -4 3 m'
_symmetry_Int_Tables_number 216
_symmetry_space_group_name_Hall 'F -4 2 3'
loop_
_atom_site_label
_atom_site_fract_x
_atom_site_fract_y
_atom_site_fract_z
_atom_site_occupancy
Sn1 0.000 0.000 0.000 1
Sn2 0.250 0.250 0.250 1
Hg1 0.000 0.000 0.500 1
Mo1 0.250 0.250 0.750 1
# **DFT total energy**: -4.075 eV per atom



# PBE Ta4TlSnN2, relaxed
data_Ta4TlSnN2
_cell_length_a 3.2443
_cell_length_b 3.2443
_cell_length_c 13.8307
_cell_angle_alpha 90.00
_cell_angle_beta 90.00
_cell_angle_gamma 120.00
_symmetry_space_group_name_H-M 'P -6 m 2'
_symmetry_Int_Tables_number 187
_symmetry_space_group_name_Hall 'P -6 2'
loop_
_atom_site_label
_atom_site_fract_x
_atom_site_fract_y
_atom_site_fract_z
_atom_site_occupancy
Ta1 0.0000 0.0000 0.1669 1
Ta2 0.6667 0.3333 0.3270 1
Tl1 0.0000 0.0000 0.5000 1
Sn1 0.6667 0.3333 0.0000 1
N1 0.3333 0.6667 0.2468 1
# **DFT total energy**: -9.123 eV per atom



# PBE Y2Er3Lu2Ni2Te2, relaxed
data_Y2Er3Lu2Ni2Te2
_cell_length_a 3.830
_cell_length_b 15.474
_cell_length_c 9.500
_cell_angle_alpha 90.00
_cell_angle_beta 90.00
_cell_angle_gamma 90.00
_symmetry_space_group_name_H-M 'I m m 2'
_symmetry_Int_Tables_number 44
loop_
_symmetry_equiv_pos_as_xyz
'x,y,z'
'-x,-y,z'
'-x,y,z'
'x,-y,z'
'x+1/2,y+1/2,z+1/2'
'-x+1/2,-y+1/2,z+1/2'
'-x+1/2,y+1/2,z+1/2'
'x+1/2,-y+1/2,z+1/2'
loop_
_atom_site_label
_atom_site_fract_x
_atom_site_fract_y
_atom_site_fract_z
_atom_site_occupancy
Y1 0.000 0.147 0.000 1
Er1 0.000 0.367 0.149 1
Er2 0.000 0.500 0.732 1
Lu1 0.000 0.185 0.351 1
Ni1 0.000 0.261 0.661 1
Te1 0.000 0.000 0.496 1
Te2 0.000 0.500 0.395 1
# **Excess energy over the best structure of this formula in the dataset**: 0 meV/atom



# PBE PaTlB, relaxed
data_PaTlB
_cell_length_a 6.669
_cell_length_b 6.669
_cell_length_c 6.669
_cell_angle_alpha 90.00
_cell_angle_beta 90.00
_cell_angle_gamma 90.00
_symmetry_space_group_name_H-M 'F -4 3 m'
_symmetry_Int_Tables_number 216
_symmetry_space_group_name_Hall 'F -4 2 3'
loop_
_atom_site_label
_atom_site_fract_x
_atom_site_fract_y
_atom_site_fract_z
_atom_site_occupancy
Pa1 0.000 0.000 0.000 1
Tl1 0.250 0.250 0.250 1
B1 0.250 0.250 0.750 1
# **Excess energy over the best structure of this formula in the dataset**: 627 meV/atom